A | The following is a GGA-PBE calculation of CsLiSb2I after structural relaxation, from Alexandria via LeMat-Bulk.

The structure in CIF format:
```
data_CsLiSb2I
_chemical_formula_sum 'Cs1 Li1 Sb2 I1'
_symmetry_space_group_name_H-M 'P 1'
_symmetry_Int_Tables_number 1
_cell_length_a 6.567
_cell_length_b 6.567
_cell_length_c 7.060
_cell_angle_alpha 90.00
_cell_angle_beta 90.00
_cell_angle_gamma 90.00
loop_
_symmetry_equiv_pos_as_xyz
'x,y,z'
loop_
_atom_site_label
_atom_site_type_symbol
_atom_site_fract_x
_atom_site_fract_y
_atom_site_fract_z
_atom_site_occupancy
Cs1 Cs 0.000 0.000 0.000 1
I1 I 0.000 0.000 0.500 1
Sb1 Sb 0.500 0.000 0.000 1
Sb2 Sb 0.000 0.500 0.000 1
Li1 Li 0.500 0.500 0.500 1
```

Calculated values
Symmetry ... P4/mmm (123)
Crystal system ... tetragonal

B | The following is a GGA-PBE calculation of CsLiSb2I after structural relaxation, from Alexandria via LeMat-Bulk.

The structure in CIF format:
```
data_CsLiSb2I
_chemical_formula_sum 'Cs1 Li1 Sb2 I1'
_symmetry_space_group_name_H-M 'P 1'
_symmetry_Int_Tables_number 1
_cell_length_a 5.155
_cell_length_b 5.155
_cell_length_c 7.129
_cell_angle_alpha 90.00
_cell_angle_beta 90.00
_cell_angle_gamma 90.00
loop_
_symmetry_equiv_pos_as_xyz
'x,y,z'
loop_
_atom_site_label
_atom_site_type_symbol
_atom_site_fract_x
_atom_site_fract_y
_atom_site_fract_z
_atom_site_occupancy
Li1 Li 0.000 0.000 0.000 1
I1 I 0.000 0.000 0.500 1
Sb1 Sb 0.500 0.000 0.000 1
Cs1 Cs 0.500 0.500 0.500 1
Sb2 Sb 0.000 0.500 0.000 1
```

Calculated values
Symmetry ... P4/mmm (123)
Crystal system ... tetragonal

Stability summary: most stable B, least stable A.

A | The following is a GGA-PBE calculation of CsLiSbI2 after structural relaxation, from Alexandria via LeMat-Bulk.

The structure in CIF format:
```
data_CsLiSbI2
_chemical_formula_sum 'Cs1 Li1 Sb1 I2'
_symmetry_space_group_name_H-M 'P 1'
_symmetry_Int_Tables_number 1
_cell_length_a 5.948
_cell_length_b 5.948
_cell_length_c 5.294
_cell_angle_alpha 90.00
_cell_angle_beta 90.00
_cell_angle_gamma 90.00
loop_
_symmetry_equiv_pos_as_xyz
'x,y,z'
loop_
_atom_site_label
_atom_site_type_symbol
_atom_site_fract_x
_atom_site_fract_y
_atom_site_fract_z
_atom_site_occupancy
Sb1 Sb 0.000 0.000 0.500 1
I1 I 0.000 0.500 0.000 1
Cs1 Cs 0.500 0.500 0.500 1
I2 I 0.500 0.000 0.000 1
Li1 Li 0.000 0.000 0.000 1
```

Calculated values
Symmetry ... P4/mmm (123)
Crystal system ... tetragonal

B | The following is a GGA-PBE calculation of CsLiSbI2 after structural relaxation, from Alexandria via LeMat-Bulk.

The structure in CIF format:
```
data_CsLiSbI2
_chemical_formula_sum 'Cs1 Li1 Sb1 I2'
_symmetry_space_group_name_H-M 'P 1'
_symmetry_Int_Tables_number 1
_cell_length_a 7.277
_cell_length_b 7.277
_cell_length_c 7.149
_cell_angle_alpha 90.00
_cell_angle_beta 90.00
_cell_angle_gamma 90.00
loop_
_symmetry_equiv_pos_as_xyz
'x,y,z'
loop_
_atom_site_label
_atom_site_type_symbol
_atom_site_fract_x
_atom_site_fract_y
_atom_site_fract_z
_atom_site_occupancy
Sb1 Sb 0.000 0.000 0.500 1
Cs1 Cs 0.000 0.000 0.000 1
Li1 Li 0.500 0.500 0.500 1
I1 I 0.000 0.500 0.000 1
I2 I 0.500 0.000 0.000 1
```

Calculated values
Symmetry ... P4/mmm (123)
Crystal system ... tetragonal

Stability summary: most stable A, least stable B.

A | The following is a GGA-PBE calculation of Cs2LiScI6 after structural relaxation, from Alexandria via LeMat-Bulk.

The structure in CIF format:
```
data_Cs2LiScI6
_chemical_formula_sum 'Cs2 Li1 Sc1 I6'
_symmetry_space_group_name_H-M 'P 1'
_symmetry_Int_Tables_number 1
_cell_length_a 8.393
_cell_length_b 8.393
_cell_length_c 8.393
_cell_angle_alpha 60.00
_cell_angle_beta 60.00
_cell_angle_gamma 90.00
loop_
_symmetry_equiv_pos_as_xyz
'x,y,z'
loop_
_atom_site_label
_atom_site_type_symbol
_atom_site_fract_x
_atom_site_fract_y
_atom_site_fract_z
_atom_site_occupancy
I1 I 0.755 0.755 0.490 1
I2 I 0.245 0.245 0.000 1
I3 I 0.755 0.245 0.000 1
Cs1 Cs 0.250 0.750 0.500 1
Cs2 Cs 0.750 0.250 0.500 1
Sc1 Sc 0.000 0.000 0.000 1
I4 I 0.245 0.245 0.510 1
Li1 Li 0.500 0.500 0.000 1
I5 I 0.755 0.755 0.000 1
I6 I 0.245 0.755 0.000 1
```

Calculated values
Symmetry ... Fm-3m (225)
Crystal system ... cubic

B | The following is a GGA-PBE calculation of Cs2LiScI6 after structural relaxation, from Alexandria via LeMat-Bulk.

The structure in CIF format:
```
data_Cs2LiScI6
_chemical_formula_sum 'Cs4 Li2 Sc2 I12'
_symmetry_space_group_name_H-M 'P 1'
_symmetry_Int_Tables_number 1
_cell_length_a 8.392
_cell_length_b 8.392
_cell_length_c 14.782
_cell_angle_alpha 73.51
_cell_angle_beta 73.51
_cell_angle_gamma 60.00
loop_
_symmetry_equiv_pos_as_xyz
'x,y,z'
loop_
_atom_site_label
_atom_site_type_symbol
_atom_site_fract_x
_atom_site_fract_y
_atom_site_fract_z
_atom_site_occupancy
I1 I 0.789 0.298 0.125 1
Sc1 Sc 0.585 0.585 0.246 1
Cs1 Cs 0.121 0.121 0.637 1
I2 I 0.617 0.133 0.632 1
Li1 Li 0.500 0.500 0.500 1
I3 I 0.383 0.867 0.368 1
I4 I 0.211 0.211 0.875 1
I5 I 0.867 0.383 0.368 1
I6 I 0.298 0.789 0.125 1
I7 I 0.133 0.617 0.632 1
Sc2 Sc 0.415 0.415 0.754 1
Li2 Li 0.000 0.000 0.000 1
Cs2 Cs 0.879 0.879 0.363 1
I8 I 0.617 0.617 0.632 1
Cs3 Cs 0.292 0.292 0.123 1
I9 I 0.789 0.789 0.125 1
I10 I 0.702 0.211 0.875 1
I11 I 0.383 0.383 0.368 1
I12 I 0.211 0.702 0.875 1
Cs4 Cs 0.708 0.708 0.877 1
```

Calculated values
Symmetry ... R-3m (166)
Crystal system ... trigonal

Stability summary: most stable B, least stable A.

A | The following is a GGA-PBE calculation of CsLiScI2 after structural relaxation, from Alexandria via LeMat-Bulk.

The structure in CIF format:
```
data_CsLiScI2
_chemical_formula_sum 'Cs1 Li1 Sc1 I2'
_symmetry_space_group_name_H-M 'P 1'
_symmetry_Int_Tables_number 1
_cell_length_a 5.729
_cell_length_b 6.273
_cell_length_c 5.729
_cell_angle_alpha 90.00
_cell_angle_beta 90.00
_cell_angle_gamma 90.00
loop_
_symmetry_equiv_pos_as_xyz
'x,y,z'
loop_
_atom_site_label
_atom_site_type_symbol
_atom_site_fract_x
_atom_site_fract_y
_atom_site_fract_z
_atom_site_occupancy
Sc1 Sc 0.500 0.500 0.500 1
I1 I 0.500 0.000 0.000 1
Cs1 Cs 0.000 0.500 0.000 1
Li1 Li 0.000 0.000 0.000 1
I2 I 0.000 0.000 0.500 1
```

Calculated values
Symmetry ... P4/mmm (123)
Crystal system ... tetragonal

B | The following is a GGA-PBE calculation of CsLiScI2 after structural relaxation, from Alexandria via LeMat-Bulk.

The structure in CIF format:
```
data_CsLiScI2
_chemical_formula_sum 'Cs1 Li1 Sc1 I2'
_symmetry_space_group_name_H-M 'P 1'
_symmetry_Int_Tables_number 1
_cell_length_a 7.047
_cell_length_b 6.837
_cell_length_c 7.047
_cell_angle_alpha 90.00
_cell_angle_beta 90.00
_cell_angle_gamma 90.00
loop_
_symmetry_equiv_pos_as_xyz
'x,y,z'
loop_
_atom_site_label
_atom_site_type_symbol
_atom_site_fract_x
_atom_site_fract_y
_atom_site_fract_z
_atom_site_occupancy
Sc1 Sc 0.000 0.500 0.000 1
I1 I 0.000 0.000 0.500 1
Cs1 Cs 0.000 0.000 0.000 1
Li1 Li 0.500 0.500 0.500 1
I2 I 0.500 0.000 0.000 1
```

Calculated values
Symmetry ... P4/mmm (123)
Crystal system ... tetragonal

Stability summary: most stable A, least stable B.

A | The following is a GGA-PBE calculation of Cs2LiSnI6 after structural relaxation, from Alexandria via LeMat-Bulk.

The structure in CIF format:
```
data_Cs2LiSnI6
_chemical_formula_sum 'Cs2 Li1 Sn1 I6'
_symmetry_space_group_name_H-M 'P 1'
_symmetry_Int_Tables_number 1
_cell_length_a 8.521
_cell_length_b 8.521
_cell_length_c 8.520
_cell_angle_alpha 59.99
_cell_angle_beta 59.99
_cell_angle_gamma 90.00
loop_
_symmetry_equiv_pos_as_xyz
'x,y,z'
loop_
_atom_site_label
_atom_site_type_symbol
_atom_site_fract_x
_atom_site_fract_y
_atom_site_fract_z
_atom_site_occupancy
Li1 Li 0.500 0.500 0.000 1
I1 I 0.251 0.749 0.000 1
Cs1 Cs 0.750 0.250 0.500 1
I2 I 0.748 0.748 0.503 1
I3 I 0.251 0.251 0.000 1
I4 I 0.749 0.251 0.000 1
I5 I 0.252 0.252 0.497 1
I6 I 0.749 0.749 0.000 1
Sn1 Sn 0.000 0.000 0.000 1
Cs2 Cs 0.250 0.750 0.500 1
```

Calculated values
Symmetry ... Fm-3m (225)
Crystal system ... cubic

B | The following is a GGA-PBE calculation of Cs2LiSnI6 after structural relaxation, from Alexandria via LeMat-Bulk.

The structure in CIF format:
```
data_Cs2LiSnI6
_chemical_formula_sum 'Cs4 Li2 Sn2 I12'
_symmetry_space_group_name_H-M 'P 1'
_symmetry_Int_Tables_number 1
_cell_length_a 8.465
_cell_length_b 8.465
_cell_length_c 15.248
_cell_angle_alpha 73.88
_cell_angle_beta 73.88
_cell_angle_gamma 60.00
loop_
_symmetry_equiv_pos_as_xyz
'x,y,z'
loop_
_atom_site_label
_atom_site_type_symbol
_atom_site_fract_x
_atom_site_fract_y
_atom_site_fract_z
_atom_site_occupancy
Cs1 Cs 0.118 0.118 0.645 1
I1 I 0.211 0.702 0.875 1
I2 I 0.870 0.376 0.378 1
Li1 Li 0.418 0.418 0.747 1
Sn1 Sn 0.500 0.500 0.500 1
I3 I 0.376 0.870 0.378 1
I4 I 0.702 0.211 0.875 1
I5 I 0.376 0.376 0.378 1
I6 I 0.624 0.130 0.622 1
Cs2 Cs 0.300 0.300 0.100 1
Sn2 Sn 0.000 0.000 0.000 1
I7 I 0.624 0.624 0.622 1
I8 I 0.211 0.211 0.875 1
I9 I 0.789 0.789 0.125 1
Li2 Li 0.582 0.582 0.253 1
Cs3 Cs 0.882 0.882 0.355 1
I10 I 0.130 0.624 0.622 1
I11 I 0.298 0.789 0.125 1
Cs4 Cs 0.700 0.700 0.900 1
I12 I 0.789 0.298 0.125 1
```

Calculated values
Symmetry ... R-3m (166)
Crystal system ... trigonal

Stability summary: most stable B, least stable A.

A | The following is a GGA-PBE calculation of CsLiTe2I after structural relaxation, from Alexandria via LeMat-Bulk.

The structure in CIF format:
```
data_CsLiTe2I
_chemical_formula_sum 'Cs1 Li1 Te2 I1'
_symmetry_space_group_name_H-M 'P 1'
_symmetry_Int_Tables_number 1
_cell_length_a 6.537
_cell_length_b 6.537
_cell_length_c 7.141
_cell_angle_alpha 90.00
_cell_angle_beta 90.00
_cell_angle_gamma 90.00
loop_
_symmetry_equiv_pos_as_xyz
'x,y,z'
loop_
_atom_site_label
_atom_site_type_symbol
_atom_site_fract_x
_atom_site_fract_y
_atom_site_fract_z
_atom_site_occupancy
Cs1 Cs 0.000 0.000 0.000 1
I1 I 0.000 0.000 0.500 1
Te1 Te 0.000 0.500 0.000 1
Li1 Li 0.500 0.500 0.500 1
Te2 Te 0.500 0.000 0.000 1
```

Calculated values
Symmetry ... P4/mmm (123)
Crystal system ... tetragonal

B | The following is a GGA-PBE calculation of CsLiTe2I after structural relaxation, from Alexandria via LeMat-Bulk.

The structure in CIF format:
```
data_CsLiTe2I
_chemical_formula_sum 'Cs1 Li1 Te2 I1'
_symmetry_space_group_name_H-M 'P 1'
_symmetry_Int_Tables_number 1
_cell_length_a 5.245
_cell_length_b 5.245
_cell_length_c 6.992
_cell_angle_alpha 90.00
_cell_angle_beta 90.00
_cell_angle_gamma 90.00
loop_
_symmetry_equiv_pos_as_xyz
'x,y,z'
loop_
_atom_site_label
_atom_site_type_symbol
_atom_site_fract_x
_atom_site_fract_y
_atom_site_fract_z
_atom_site_occupancy
Te1 Te 0.500 0.000 0.000 1
Li1 Li 0.000 0.000 0.000 1
Te2 Te 0.000 0.500 0.000 1
Cs1 Cs 0.500 0.500 0.500 1
I1 I 0.000 0.000 0.500 1
```

Calculated values
Symmetry ... P4/mmm (123)
Crystal system ... tetragonal

Stability summary: most stable B, least stable A.